Below is a PBEsol-optimized structure of TaBiOF2, with properties calculated at the SCAN level.

```
data_TaBiOF2
_chemical_formula_sum 'Ta1 Bi1 O1 F2'
_cell_length_a 4.360
_cell_length_b 4.360
_cell_length_c 3.913
_cell_angle_alpha 90.00
_cell_angle_beta 90.00
_cell_angle_gamma 90.00
_space_group_name_H-M_alt 'P 4/m m m'
_space_group_IT_number 123
_space_group_name_Hall '-P 4 2'
loop_
_atom_site_label
_atom_site_type_symbol
_atom_site_fract_x
_atom_site_fract_y
_atom_site_fract_z
Ta1 Ta 0.000 0.000 0.000
Bi1 Bi 0.500 0.500 0.500
O1 O 0.000 0.000 0.500
F1 F 0.000 0.500 0.000
```

Energy in eV per cell: -165.9
E_form (uncorrected) in eV/f.u.: -7.44


Below is a PBEsol-optimized structure of MnAsCl2, with properties calculated at the SCAN level.

```
data_MnAsCl2
_chemical_formula_sum 'Mn2 As2 Cl4'
_cell_length_a 13.288
_cell_length_b 3.231
_cell_length_c 4.235
_cell_angle_alpha 90.00
_cell_angle_beta 96.93
_cell_angle_gamma 90.00
_space_group_name_H-M_alt 'C 1 2/m 1'
_space_group_IT_number 12
loop_
_space_group_symop_operation_xyz
'x,y,z'
'-x,-y,-z'
'-x,y,-z'
'x,-y,z'
'x+1/2,y+1/2,z'
'-x+1/2,-y+1/2,-z'
'-x+1/2,y+1/2,-z'
'x+1/2,-y+1/2,z'
loop_
_atom_site_label
_atom_site_type_symbol
_atom_site_fract_x
_atom_site_fract_y
_atom_site_fract_z
Mn1 Mn 0.000 0.000 0.000
As1 As 0.000 0.500 0.500
Cl1 Cl 0.148 0.500 0.201
```

Energy above the most stable polymorph in this dataset in meV per atom: 0.0
Energy in eV per cell: -113.4
E_form (uncorrected) in eV/f.u.: -2.30


Below is a PBEsol-optimized structure of CaOsSe2, with properties calculated at the SCAN level.

```
data_CaOsSe2
_chemical_formula_sum 'Ca3 Os3 Se6'
_cell_length_a 3.9624
_cell_length_b 3.9624
_cell_length_c 17.7452
_cell_angle_alpha 90.00
_cell_angle_beta 90.00
_cell_angle_gamma 120.00
_space_group_name_H-M_alt 'R 3 m'
_space_group_IT_number 160
_space_group_name_Hall 'R 3 -2"'
loop_
_atom_site_label
_atom_site_type_symbol
_atom_site_fract_x
_atom_site_fract_y
_atom_site_fract_z
Ca1 Ca 0.0000 0.0000 0.0000
Os1 Os 0.0000 0.0000 0.1798
Se1 Se 0.0000 0.0000 0.5695
Se2 Se 0.0000 0.0000 0.7798
```

Energy above the most stable polymorph in this dataset in meV per atom: 53.7
Energy in eV per cell: -373.7
E_form (uncorrected) in eV/f.u.: -2.86


Below is a PBEsol-optimized structure of La3CuO, with properties calculated at the SCAN level.

```
data_La3CuO
_chemical_formula_sum 'La3 Cu1 O1'
_cell_length_a 5.395
_cell_length_b 5.395
_cell_length_c 5.395
_cell_angle_alpha 90.00
_cell_angle_beta 90.00
_cell_angle_gamma 90.00
_space_group_name_H-M_alt 'P m -3 m'
_space_group_IT_number 221
_space_group_name_Hall '-P 4 2 3'
loop_
_atom_site_label
_atom_site_type_symbol
_atom_site_fract_x
_atom_site_fract_y
_atom_site_fract_z
La1 La 0.000 0.000 0.500
Cu1 Cu 0.000 0.000 0.000
O1 O 0.500 0.500 0.500
```

Energy in eV per cell: -149.4
E_form (uncorrected) in eV/f.u.: 1.35


Below is a PBEsol-optimized structure of KNb3P3O15, with properties calculated at the SCAN level.

```
data_KNb3P3O15
_chemical_formula_sum 'K4 Nb12 P12 O60'
_cell_length_a 6.509
_cell_length_b 14.899
_cell_length_c 14.896
_cell_angle_alpha 90.00
_cell_angle_beta 115.23
_cell_angle_gamma 90.00
_space_group_name_H-M_alt 'P 1 21/c 1'
_space_group_IT_number 14
loop_
_space_group_symop_operation_xyz
'x,y,z'
'-x,-y,-z'
'-x,y+1/2,-z+1/2'
'x,-y+1/2,z+1/2'
loop_
_atom_site_label
_atom_site_type_symbol
_atom_site_fract_x
_atom_site_fract_y
_atom_site_fract_z
K1 K 0.165 0.173 0.488
Nb1 Nb 0.306 0.724 0.309
Nb2 Nb 0.356 0.525 0.858
Nb3 Nb 0.432 0.112 0.937
P1 P 0.127 0.621 0.628
P2 P 0.207 0.504 0.207
P3 P 0.268 0.203 0.271
O1 O 0.013 0.216 0.201
O2 O 0.047 0.515 0.861
O3 O 0.127 0.112 0.943
O4 O 0.160 0.717 0.670
O5 O 0.201 0.547 0.706
O6 O 0.236 0.605 0.232
O7 O 0.264 0.615 0.565
O8 O 0.289 0.055 0.799
O9 O 0.313 0.107 0.313
O10 O 0.333 0.022 0.643
O11 O 0.341 0.234 0.861
O12 O 0.365 0.653 0.865
O13 O 0.397 0.224 0.207
O14 O 0.447 0.675 0.437
O15 O 0.500 0.000 0.000
O16 O 0.500 0.000 0.500
```

Energy in eV per cell: -1162.2
E_form (uncorrected) in eV/f.u.: -58.17


Below is a PBEsol-optimized structure of AgTeBr2, with properties calculated at the SCAN level.

```
data_AgTeBr2
_chemical_formula_sum 'Ag1 Te1 Br2'
_cell_length_a 3.334
_cell_length_b 3.334
_cell_length_c 8.431
_cell_angle_alpha 90.00
_cell_angle_beta 90.00
_cell_angle_gamma 90.00
_space_group_name_H-M_alt 'P 4/m m m'
_space_group_IT_number 123
_space_group_name_Hall '-P 4 2'
loop_
_atom_site_label
_atom_site_type_symbol
_atom_site_fract_x
_atom_site_fract_y
_atom_site_fract_z
Ag1 Ag 0.000 0.000 0.000
Te1 Te 0.000 0.000 0.500
Br1 Br 0.500 0.500 0.210
```

Energy above the most stable polymorph in this dataset in meV per atom: 204.6
Energy in eV per cell: -107.0
E_form (uncorrected) in eV/f.u.: 0.58


Below is a PBEsol-optimized structure of As2IrPbBr, with properties calculated at the SCAN level.

```
data_As2IrPbBr
_chemical_formula_sum 'As2 Ir1 Pb1 Br1'
_cell_length_a 4.746
_cell_length_b 4.746
_cell_length_c 5.352
_cell_angle_alpha 90.00
_cell_angle_beta 90.00
_cell_angle_gamma 90.00
_space_group_name_H-M_alt 'P 4/m m m'
_space_group_IT_number 123
_space_group_name_Hall '-P 4 2'
loop_
_atom_site_label
_atom_site_type_symbol
_atom_site_fract_x
_atom_site_fract_y
_atom_site_fract_z
As1 As 0.000 0.500 0.000
Ir1 Ir 0.000 0.000 0.000
Pb1 Pb 0.500 0.500 0.500
Br1 Br 0.000 0.000 0.500
```

Energy in eV per cell: -205.1
E_form (uncorrected) in eV/f.u.: 1.65


Below is a PBEsol-optimized structure of Na3HRu, with properties calculated at the SCAN level.

```
data_Na3HRu
_chemical_formula_sum 'Na3 H1 Ru1'
_cell_length_a 5.599
_cell_length_b 5.599
_cell_length_c 5.599
_cell_angle_alpha 90.00
_cell_angle_beta 90.00
_cell_angle_gamma 90.00
_space_group_name_H-M_alt 'P m -3 m'
_space_group_IT_number 221
_space_group_name_Hall '-P 4 2 3'
loop_
_atom_site_label
_atom_site_type_symbol
_atom_site_fract_x
_atom_site_fract_y
_atom_site_fract_z
Na1 Na 0.000 0.000 0.500
H1 H 0.500 0.500 0.500
Ru1 Ru 0.000 0.000 0.000
```

Energy in eV per cell: -44.8